Entry 1:
VASP calculation (SCAN) on Al3BiS at its PBEsol-relaxed geometry.

Values from the calculation:
Calculated density   4.9 g cm⁻³
E_tot   -21.9918 eV/atom
Total moment   0.00 μB per formula unit
Uncorrected formation energy   300.8 meV per atom

Cell: 4.7900 4.7900 4.7900 Å, 90.00 90.00 90.00°
Fractional positions:
S 0.0000 0.0000 0.0000
Bi 0.5000 0.5000 0.5000
Al 0.0000 0.5000 0.0000
Al 0.0000 0.0000 0.5000
Al 0.5000 0.0000 0.0000

***

Entry 2:
VASP calculation (SCAN) on Bi2PdPt at its PBEsol-relaxed geometry.

Values from the calculation:
Calculated density   13.4 g cm⁻³
E_tot   -65.3266 eV/atom
DFT formation energy   -1.180 eV/f.u.
Total moment   0.00 μB per formula unit

Cell: 4.3115 4.3115 5.5423 Å, 90.00 90.00 120.00°
Fractional positions:
Pt 0.0000 0.0000 0.0000
Bi 0.6667 0.3333 0.7536
Bi 0.3333 0.6667 0.2464
Pd 0.0000 0.0000 0.5000

***

Entry 3:
VASP calculation (SCAN) on Co3Cu at its PBEsol-relaxed geometry.

Values from the calculation:
Calculated density   9.4 g cm⁻³
E_tot   -16.6717 eV/atom
DFT formation energy   0.425 eV/f.u.
Total moment   5.28 μB per formula unit

Cell: 2.4623 2.4623 8.0751 Å, 90.00 90.00 120.00°
Last column: magnetic moment on the atom in μB.
Fractional positions:
Co 0.3333 0.6667 0.2417  1.79
Co 0.3333 0.6667 0.7583  1.79
Co 0.0000 0.0000 0.0000  1.78
Cu 0.0000 0.0000 0.5000  0.06

***

Entry 4:
VASP calculation (SCAN) on Li2VO2F2 at its PBEsol-relaxed geometry.

Values from the calculation:
Calculated density   3.2 g cm⁻³
E_tot   -8.8070 eV/atom
Total moment   1.00 μB per formula unit
Polymorph energy (0 for the lowest one)   58.2 meV per atom
Uncorrected formation energy   -2834.1 meV per atom

Cell: 3.7180 6.2281 6.4883 Å, 113.39 90.00 90.00°
Last column: magnetic moment on the atom in μB.
Fractional positions:
Li 0.2500 0.2787 0.7269  0.00
Li 0.7500 0.7213 0.2731  0.00
Li 0.7500 0.0951 0.8951  0.00
Li 0.2500 0.9049 0.1049  0.00
V 0.2500 0.7074 0.6270  1.02
V 0.7500 0.2926 0.3730  1.02
O 0.7500 0.6469 0.5718  -0.01
O 0.2500 0.3531 0.4282  -0.01
O 0.2500 0.9935 0.8161  -0.07
O 0.7500 0.0065 0.1839  -0.07
F 0.7500 0.2158 0.6428  0.01
F 0.2500 0.7842 0.3572  0.01
F 0.7500 0.3933 0.1248  0.02
F 0.2500 0.6067 0.8752  0.02

***

Entry 5:
VASP calculation (SCAN) on Al3CoW at its PBEsol-relaxed geometry.

Values from the calculation:
Calculated density   5.0 g cm⁻³
E_tot   -20.8872 eV/atom
DFT formation energy   5.812 eV/f.u.
Total moment   2.64 μB per formula unit

Cell: 4.7545 4.7545 4.7545 Å, 90.00 90.00 90.00°
Last column: magnetic moment on the atom in μB.
Fractional positions:
Co 0.5000 0.5000 0.5000  2.38
Al 0.0000 0.5000 0.0000  0.00
Al 0.0000 0.0000 0.5000  0.00
Al 0.5000 0.0000 0.0000  0.00
W 0.0000 0.0000 0.0000  0.24

***

Entry 6:
VASP calculation (SCAN) on Mg3Sc at its PBEsol-relaxed geometry.

Values from the calculation:
Calculated density   2.1 g cm⁻³
E_tot   -7.2790 eV/atom
DFT formation energy   0.042 eV/f.u.
Total moment   0.26 μB per formula unit

Cell: 3.1521 5.4996 5.5859 Å, 100.52 90.00 106.65°
Last column: magnetic moment on the atom in μB.
Fractional positions:
Sc 0.0000 0.0000 0.0000  0.13
Mg 0.5000 0.0000 0.5000  0.00
Mg 0.2467 0.4933 0.7491  0.01
Mg 0.7533 0.5067 0.2509  0.01

***

Entry 7:
VASP calculation (SCAN) on ZnRe2Ru at its PBEsol-relaxed geometry.

Values from the calculation:
Calculated density   15.9 g cm⁻³
E_tot   -47.4734 eV/atom
DFT formation energy   0.643 eV/f.u.
Total moment   0.01 μB per formula unit

Cell: 2.7497 4.5581 4.7833 Å, 100.86 106.70 90.00°
Fractional positions:
Re 0.2416 0.2427 0.4831
Re 0.7584 0.7573 0.5169
Ru 0.5000 0.0000 0.0000
Zn 0.0000 0.5000 0.0000

***

Entry 8:
VASP calculation (SCAN) on CsYCd2Cl at its PBEsol-relaxed geometry.

Values from the calculation:
Calculated density   4.3 g cm⁻³
E_tot   -26.6939 eV/atom
Total moment   1.52 μB per formula unit
Uncorrected formation energy   198.1 meV per atom

Cell: 5.6500 5.6500 5.8195 Å, 90.00 90.00 90.00°
Last column: magnetic moment on the atom in μB.
Fractional positions:
Cs 0.0000 0.0000 0.5000  0.03
Y 0.5000 0.5000 0.5000  0.61
Cl 0.0000 0.0000 0.0000  -0.01
Cd 0.0000 0.5000 0.0000  0.01
Cd 0.5000 0.0000 0.0000  0.01

***

Entry 9:
VASP calculation (SCAN) on Li2MnPd at its PBEsol-relaxed geometry.

Values from the calculation:
Calculated density   4.8 g cm⁻³
E_tot   -13.9780 eV/atom
DFT formation energy   -0.103 eV/f.u.
Total moment   4.74 μB per formula unit

Cell: 5.0843 5.4861 5.4861 Å, 77.60 62.39 62.39°
Last column: magnetic moment on the atom in μB.
Fractional positions:
Mn 0.5000 0.0000 0.0000  4.35
Mn 0.2500 0.5000 0.5000  4.35
Pd 0.0000 0.0000 0.0000  0.21
Pd 0.7500 0.5000 0.5000  0.21
Li 0.8750 0.0163 0.4837  -0.01
Li 0.3750 0.9837 0.5163  -0.01
Li 0.6413 0.4837 0.9837  -0.01
Li 0.1087 0.5163 0.0163  -0.01

***

Entry 10:
VASP calculation (SCAN) on CaMg5P3HCO16 at its PBEsol-relaxed geometry.

Values from the calculation:
Calculated density   3.0 g cm⁻³
E_tot   -9.3802 eV/atom
Total moment   0.00 μB per formula unit

Cell: 6.2930 8.6829 10.8513 Å, 95.24 101.01 93.38°
Fractional positions:
Ca 0.1237 0.3180 0.5630
Ca 0.8763 0.6820 0.4370
Mg 0.0921 0.8188 0.1686
Mg 0.9079 0.1812 0.8314
Mg 0.3431 0.5329 0.1168
Mg 0.6569 0.4671 0.8832
Mg 0.3091 0.0363 0.4002
Mg 0.6909 0.9637 0.5998
Mg 0.5886 0.3519 0.3177
Mg 0.4114 0.6481 0.6823
Mg 0.6714 0.1383 0.0476
Mg 0.3286 0.8617 0.9524
P 0.7978 0.0311 0.3292
P 0.2022 0.9689 0.6708
P 0.2125 0.1586 0.1086
P 0.7875 0.8414 0.8914
P 0.3690 0.6689 0.4255
P 0.6310 0.3311 0.5745
H 0.5215 0.8051 0.1650
H 0.4785 0.1949 0.8350
C 0.1470 0.4842 0.8375
C 0.8530 0.5158 0.1625
O 0.0095 0.1097 0.4133
O 0.9905 0.8903 0.5867
O 0.4382 0.2662 0.4638
O 0.5618 0.7338 0.5362
O 0.3704 0.0058 0.5885
O 0.6296 0.9942 0.4115
O 0.3278 0.3170 0.1712
O 0.6722 0.6830 0.8288
O 0.2341 0.7943 0.3634
O 0.7659 0.2057 0.6366
O 0.2180 0.5753 0.4951
O 0.7820 0.4247 0.5049
O 0.4685 0.5732 0.3270
O 0.5315 0.4268 0.6730
O 0.7006 0.1494 0.2380
O 0.2994 0.8506 0.7620
O 0.6772 0.4904 0.0772
O 0.3229 0.5096 0.9228
O 0.1654 0.1262 0.7410
O 0.8346 0.8738 0.2590
O 0.2024 0.0480 0.2111
O 0.7976 0.9520 0.7889
O 0.0265 0.5811 0.1365
O 0.9735 0.4189 0.8635
O 0.3784 0.7628 0.1164
O 0.6216 0.2372 0.8836
O 0.1501 0.5206 0.7256
O 0.8499 0.4794 0.2744
O 0.3452 0.0891 0.0147
O 0.6548 0.9109 0.9853
O 0.9844 0.1797 0.0327
O 0.0156 0.8203 0.9673

***

Entry 11:
VASP calculation (SCAN) on LaCd3Os at its PBEsol-relaxed geometry.

Values from the calculation:
Calculated density   8.4 g cm⁻³
E_tot   -40.9828 eV/atom
DFT formation energy   1.314 eV/f.u.
Total moment   0.00 μB per formula unit

Cell: 5.0828 5.0828 5.0828 Å, 90.00 90.00 90.00°
Fractional positions:
Cd 0.0000 0.5000 0.0000
Cd 0.0000 0.0000 0.5000
Cd 0.5000 0.0000 0.0000
Os 0.0000 0.0000 0.0000
La 0.5000 0.5000 0.5000

***

Entry 12:
VASP calculation (SCAN) on TiNb2AlPd at its PBEsol-relaxed geometry.

Values from the calculation:
Calculated density   6.3 g cm⁻³
E_tot   -23.5147 eV/atom
DFT formation energy   5.242 eV/f.u.
Total moment   0.00 μB per formula unit

Cell: 4.5209 4.6422 4.6422 Å, 90.00 90.00 90.00°
Fractional positions:
Nb 0.0000 0.0000 0.5000
Nb 0.0000 0.5000 0.0000
Al 0.0000 0.0000 0.0000
Pd 0.5000 0.5000 0.5000
Ti 0.5000 0.0000 0.0000

***

Q: The highest E_tot belongs to which entry?
A: Mg3Sc

***

Q: Look up the E_tot of the tenth one.
A: -9.3802 eV/atom

***

Q: Which value of total moment does entry 8 give?
A: 1.52 μB per formula unit

***

Q: The lowest calculated density belongs to which entry?
A: Mg3Sc